[1]
Material: Sm4Pd12Au
Method: DFT, PBE
State: optimized geometry

Summary:
total DFT energy (no corrections) = -5.71 eV/atom

abc: 8.625 8.625 8.625
angles: 90.00 90.00 90.00
Space group Im-3m (No. 229)
Symmetry-distinct sites (fractional):
Sm 0.250 0.250 0.250
Pd 0.000 0.000 0.304
Pd 0.000 0.250 0.500
Au 0.000 0.000 0.000



[2]
Material: CoAs
Method: DFT, PBE
State: optimized geometry

Summary:
total DFT energy (no corrections) = -5.83 eV/atom

abc: 3.375 12.149 5.149
angles: 90.00 90.00 90.00
Space group Pmmn (No. 59, origin choice 2)
Symmetry-distinct sites (fractional):
Co 0.250 0.076 0.064
Co 0.250 0.750 0.505
As 0.250 0.250 0.204
As 0.250 0.605 0.224



[3]
Material: TlTeH3
Method: DFT, PBE
State: optimized geometry

Summary:
total DFT energy (no corrections) = -2.62 eV/atom

abc: 4.249 4.249 4.249
angles: 90.00 90.00 90.00
Space group Pm-3m (No. 221)
Symmetry-distinct sites (fractional):
Tl 0.000 0.000 0.000
Te 0.500 0.500 0.500
H 0.000 0.500 0.500



[4]
Material: Pb3IBr
Method: DFT, PBE
State: optimized geometry

Summary:
E_form (uncorrected) = 0.493 eV/atom
total DFT energy (no corrections) = -2.38 eV/atom

abc: 6.098 6.098 6.098
angles: 90.00 90.00 90.00
Space group Pm-3m (No. 221)
Symmetry-distinct sites (fractional):
Pb 0.000 0.000 0.500
I 0.000 0.000 0.000
Br 0.500 0.500 0.500



[5]
Material: Th4Tl3Co
Method: DFT, PBE
State: optimized geometry

Summary:
total DFT energy (no corrections) = -5.49 eV/atom

abc: 4.918 11.387 8.315
angles: 90.00 90.00 90.00
Space group Pmmn (No. 59, origin choice 2)
Symmetry-distinct sites (fractional):
Th 0.250 0.001 0.164
Th 0.250 0.250 0.737
Th 0.250 0.750 0.936
Tl 0.250 0.250 0.337
Tl 0.250 0.588 0.554
Co 0.250 0.750 0.280



[6]
Material: BaHg4I
Method: DFT, PBE
State: optimized geometry

Summary:
E_form (uncorrected) = -0.465 eV/atom
total DFT energy (no corrections) = -1.25 eV/atom

abc: 9.210 9.210 9.210
angles: 90.00 90.00 90.00
Space group F-43m (No. 216)
Symmetry-distinct sites (fractional):
Ba 0.000 0.000 0.000
Hg 0.124 0.124 0.376
I 0.250 0.250 0.750



[7]
Material: RbLaGe2
Method: DFT, PBE
State: optimized geometry

Summary:
total DFT energy (no corrections) = -3.80 eV/atom

abc: 7.758 7.758 7.758
angles: 90.00 90.00 90.00
Space group Fm-3m (No. 225)
Symmetry-distinct sites (fractional):
Rb 0.000 0.000 0.000
La 0.000 0.000 0.500
Ge 0.250 0.250 0.250



[8]
Material: NaHoTe
Method: DFT, PBE
State: optimized geometry

Summary:
E_form (uncorrected) = -0.412 eV/atom
total DFT energy (no corrections) = -3.42 eV/atom

abc: 14.936 3.905 6.696
angles: 90.00 90.00 90.00
Space group Amm2 (No. 38)
Symmetry-distinct sites (fractional):
Na 0.144 0.000 0.000
Ho 0.359 0.000 0.657
Te 0.000 0.000 0.664
Te 0.500 0.000 0.992



[9]
Material: Cs6Rb5
Method: DFT, PBE
State: optimized geometry

Summary:
total DFT energy (no corrections) = -0.88 eV/atom

abc: 8.535 18.037 15.002
angles: 90.00 90.62 90.00
Space group C2/m (No. 12)
Symmetry-distinct sites (fractional):
Cs 0.007 0.000 0.303
Cs 0.007 0.348 0.200
Rb 0.000 0.131 0.000
Rb 0.000 0.212 0.500
Rb 0.000 0.500 0.500



[10]
Material: Pr7Ag2Au2
Method: DFT, PBE
State: optimized geometry

Summary:
total DFT energy (no corrections) = -4.25 eV/atom

abc: 7.766 11.150 7.975
angles: 90.00 90.00 90.00
Space group Cmmm (No. 65)
Symmetry-distinct sites (fractional):
Pr 0.000 0.000 0.000
Pr 0.000 0.500 0.269
Pr 0.250 0.250 0.292
Ag 0.000 0.289 0.000
Au 0.180 0.000 0.500



[11]
Material: Cd3Mo
Method: DFT, PBE
State: optimized geometry

Summary:
total DFT energy (no corrections) = -3.02 eV/atom

abc: 6.0009 6.0009 9.8729
angles: 90.00 90.00 120.00
Space group P6_3/mmc (No. 194)
Symmetry-distinct sites (fractional):
Cd 0.0000 0.5000 0.0000
Cd 0.1631 0.3262 0.2500
Mo 0.0000 0.0000 0.0000
Mo 0.3333 0.6667 0.7500



[12]
Material: SrFe3
Method: DFT, PBE
State: optimized geometry

Summary:
total DFT energy (no corrections) = -6.24 eV/atom

abc: 3.226 3.243 6.832
angles: 90.00 90.00 90.00
Space group Pmmm (No. 47)
Symmetry-distinct sites (fractional):
Sr 0.000 0.000 0.000
Fe 0.000 0.000 0.500
Fe 0.500 0.500 0.336



[13]
Material: Ba2ReSi
Method: DFT, PBE
State: optimized geometry

Summary:
E_form (uncorrected) = 1.211 eV/atom
total DFT energy (no corrections) = -4.22 eV/atom

abc: 3.5766 3.5766 31.3902
angles: 90.00 90.00 120.00
Space group R-3m (No. 166, hexagonal axes)
Symmetry-distinct sites (fractional):
Ba 0.0000 0.0000 0.2475
Re 0.0000 0.0000 0.5000
Si 0.0000 0.0000 0.0000



[14]
Material: Pm2ZnB2Rh5
Method: DFT, PBE
State: optimized geometry

Summary:
total DFT energy (no corrections) = -6.74 eV/atom

abc: 9.642 9.642 3.221
angles: 90.00 90.00 90.00
Space group P4/mbm (No. 127)
Symmetry-distinct sites (fractional):
Pm 0.177 0.323 0.000
Zn 0.000 0.000 0.000
B 0.122 0.622 0.000
Rh 0.000 0.500 0.500
Rh 0.069 0.777 0.500



[15]
Material: AcGa4Ni2
Method: DFT, PBE
State: optimized geometry

Summary:
total DFT energy (no corrections) = -4.19 eV/atom

abc: 7.346 9.960 4.804
angles: 90.00 130.38 90.00
Space group C2/m (No. 12)
Symmetry-distinct sites (fractional):
Ac 0.000 0.000 0.000
Ga 0.249 0.319 0.249
Ni 0.002 0.500 0.252



[16]
Material: DyHoAu3
Method: DFT, PBE
State: optimized geometry

Summary:
total DFT energy (no corrections) = -4.66 eV/atom

abc: 5.225 16.159 5.222
angles: 90.00 90.00 90.00
Space group Cmcm (No. 63)
Symmetry-distinct sites (fractional):
Dy 0.000 0.140 0.250
Ho 0.000 0.360 0.250
Au 0.000 0.050 0.750
Au 0.000 0.250 0.750
Au 0.000 0.451 0.750



[17]
Material: Dy2Ga9Co3
Method: DFT, PBE
State: optimized geometry

Summary:
total DFT energy (no corrections) = -4.62 eV/atom

abc: 12.729 7.385 9.417
angles: 90.00 90.00 90.00
Space group Cmcm (No. 63)
Symmetry-distinct sites (fractional):
Dy 0.164 0.167 0.250
Ga 0.000 0.121 0.750
Ga 0.000 0.334 0.058
Ga 0.107 0.443 0.750
Ga 0.167 0.167 0.572
Co 0.000 0.000 0.000
Co 0.171 0.500 0.000



[18]
Material: Pr2SnPRh6
Method: DFT, PBE
State: optimized geometry

Summary:
total DFT energy (no corrections) = -6.92 eV/atom

abc: 5.733 8.762 7.858
angles: 90.00 90.00 90.00
Space group Pmmn (No. 59, origin choice 2)
Symmetry-distinct sites (fractional):
Pr 0.250 0.020 0.217
Sn 0.250 0.750 0.793
P 0.250 0.250 0.716
Rh 0.005 0.750 0.071
Rh 0.017 0.750 0.495
Rh 0.250 0.003 0.599



[19]
Material: Y3TcMo
Method: DFT, PBE
State: optimized geometry

Summary:
total DFT energy (no corrections) = -7.33 eV/atom

abc: 5.267 5.267 5.267
angles: 90.00 90.00 90.00
Space group Pm-3m (No. 221)
Symmetry-distinct sites (fractional):
Y 0.000 0.000 0.500
Tc 0.000 0.000 0.000
Mo 0.500 0.500 0.500



[20]
Material: MgP2Cl
Method: DFT, PBE
State: optimized geometry

Summary:
E_form (uncorrected) = -0.567 eV/atom
total DFT energy (no corrections) = -4.13 eV/atom

abc: 3.969 3.363 7.698
angles: 90.00 95.91 90.00
Space group Pm (No. 6)
Symmetry-distinct sites (fractional):
Mg 0.000 0.000 0.000
P 0.275 0.500 0.765
P 0.596 0.000 0.704
Cl 0.904 0.500 0.204



[21]
Material: Li2ScCd2
Method: DFT, PBE
State: optimized geometry

Summary:
total DFT energy (no corrections) = -2.57 eV/atom

abc: 7.744 7.744 3.192
angles: 90.00 90.00 90.00
Space group P4/mbm (No. 127)
Symmetry-distinct sites (fractional):
Li 0.118 0.382 0.000
Sc 0.000 0.000 0.000
Cd 0.182 0.682 0.500



[22]
Material: PrAlGaIr2
Method: DFT, PBE
State: optimized geometry

Summary:
total DFT energy (no corrections) = -6.41 eV/atom

abc: 4.406 13.160 6.906
angles: 90.00 90.00 90.00
Space group Cmcm (No. 63)
Symmetry-distinct sites (fractional):
Pr 0.000 0.112 0.250
Al 0.000 0.194 0.750
Ga 0.000 0.500 0.000
Ir 0.000 0.319 0.045